Here is Hg4H6Pd7 after structural relaxation from Alexandria. Energies are from PBE.

Cell: 6.840 6.840 6.840 Å, 109.47 109.47 109.47°
Positions (direct):
Hg 0.500 0.000 0.000
Hg 0.500 0.500 0.500
Hg 0.000 0.500 0.000
Hg 0.000 0.000 0.500
H 0.789 0.000 0.789
H 0.789 0.789 0.000
H 0.000 0.211 0.211
H 0.211 0.000 0.211
H 0.211 0.211 0.000
H 0.000 0.789 0.789
Pd 0.750 0.500 0.250
Pd 0.250 0.750 0.500
Pd 0.500 0.750 0.250
Pd 0.750 0.250 0.500
Pd 0.250 0.500 0.750
Pd 0.500 0.250 0.750
Pd 0.000 0.000 0.000

Output
**Size of the total moment**: 0.00 μB per formula unit
**Uncorrected energy**: -3.042 eV per atom